Density functional theory data (PBEsol) for an optimized crystal structure of CaTa2Sb.

a = 3.045 Å, b = 5.292 Å, c = 5.259 Å
α = 90.00°, β = 91.38°, γ = 90.00°
Fractional positions:
1 Ca 0.000 0.000 0.000
2 Ta 0.371 0.500 0.757
3 Ta 0.629 0.500 0.243
4 Sb 0.500 0.000 0.500

VASP energy: -30.477 eV per cell
Uncorrected formation energy: 0.329 eV per atom